No. 1
BaTaCu2 PBE-GGA relaxed; energy above the lowest structure with this stoichiometry = 0.046 eV per atom; D(E_F) = 3.64 states/eV/cell; calculated formation energy = 1.5 eV per formula unit
1.0
-1.010 -3.193 2.782
-2.346 -3.408 -1.356
3.905 -5.082 -0.997
Cu Ba Ta
2 1 1
Direct
0.064 0.064 0.808 Cu
0.745 0.745 0.764 Cu
0.252 0.252 0.245 Ba
0.439 0.439 0.684 Ta

=====

No. 2
Sc2HAu PBE-GGA relaxed; energy above the lowest structure with this stoichiometry = 0.292 eV per atom; D(E_F) = 2.26 states/eV/cell
1.0
2.337 0.000 6.600
-1.169 2.024 6.600
-1.169 -2.024 6.600
Sc Au H
2 1 1
Direct
0.096 0.096 0.096 Sc
0.904 0.904 0.904 Sc
0.500 0.500 0.500 Au
0.000 0.000 0.000 H

=====

No. 3
Ac4CdRh2 PBE-GGA relaxed; energy above the lowest structure with this stoichiometry = 0.080 eV per atom; D(E_F) = 12.07 states/eV/cell; calculated formation energy = -3.1 eV per formula unit
1.0
7.934 -0.950 -0.159
-1.520 7.845 0.159
-3.073 -3.571 7.361
Ac Rh Cd
8 4 2
Direct
0.484 0.750 0.891 Ac
0.410 0.040 0.279 Ac
0.859 0.593 0.109 Ac
0.760 0.131 0.721 Ac
0.843 0.609 0.609 Ac
0.000 0.234 0.391 Ac
0.381 0.510 0.221 Ac
0.290 0.160 0.779 Ac
0.736 0.868 0.361 Rh
0.118 0.485 0.861 Rh
0.506 0.375 0.639 Rh
0.625 0.257 0.139 Rh
0.244 0.744 0.500 Cd
0.994 0.994 0.000 Cd

=====

No. 4
Pm2YTl2Zn2 PBE-GGA relaxed; D(E_F) = 3.50 states/eV/cell; calculated formation energy = -1.3 eV per formula unit
1.0
-2.865 2.304 3.013
-1.368 -2.088 4.045
6.112 3.672 6.755
Zn Y Pm Tl
2 1 2 2
Direct
0.391 0.391 0.828 Zn
0.609 0.609 0.172 Zn
0.000 0.000 0.000 Y
0.874 0.874 0.378 Pm
0.126 0.126 0.622 Pm
0.265 0.265 0.205 Tl
0.735 0.735 0.795 Tl

=====

Computed ρ, in the same sequence as the records: 7.54 5.10 9.09 8.27 g/cm³.
Computed V, in the same sequence as the records: 98.1 93.7 223.9 184.5 Å³/f.u..